The following is a GGA-PBE calculation of a relaxed RbScI3 crystal, from the Alexandria database.

Cell lengths 6.4886, 6.4886, 6.4886 Å; angles 90.00, 90.00, 90.00 degrees
With the nearest neighbours (Å) after each atom.
Positions (direct):
Rb 0.0000 0.0000 0.0000  6 I 3.24
Sc 0.5000 0.5000 0.5000  12 I 4.59
I 0.0000 0.0000 0.5000  2 Rb 3.24
I 0.0000 0.5000 0.0000  2 Rb 3.24
I 0.5000 0.0000 0.0000  2 Rb 3.24

## Properties
Its formation energy from raw total energies is -2 meV per atom. As for the calculated volume: 54.6 Å³/atom. The calculation puts the energy relative to the lowest polymorph listed for this composition at 1260 meV per atom. As for the space group: No. 221. The theoretical density comes out at 3.107 g/cm3.